No. 1
This record from Alexandria via LeMat-Bulk describes a geometry-optimized La2CrW structure. The functional is PBE-GGA.

Properties
energy of formation from the pure elements = 0.737 eV per atom
energy above the lowest structure with this stoichiometry = 0.340 eV/atom
calculated volume = 98 Å³/f.u.

a b c (Å): 7.3224 7.3224 7.3224
angles (deg): 90.00 90.00 90.00
Atoms (fractional coordinates):
La  0.2500  0.2500  0.2500
La  0.2500  0.2500  0.7500
La  0.2500  0.7500  0.2500
La  0.2500  0.7500  0.7500
La  0.7500  0.2500  0.2500
La  0.7500  0.2500  0.7500
La  0.7500  0.7500  0.2500
La  0.7500  0.7500  0.7500
Cr  0.0000  0.0000  0.0000
Cr  0.0000  0.5000  0.5000
Cr  0.5000  0.0000  0.5000
Cr  0.5000  0.5000  0.0000
W  0.0000  0.0000  0.5000
W  0.0000  0.5000  0.0000
W  0.5000  0.0000  0.0000
W  0.5000  0.5000  0.5000

=====

No. 2
This record from Alexandria via LeMat-Bulk describes a geometry-optimized Np2ZnF8 structure. The functional is PBE-GGA.

Properties
energy above the lowest structure with this stoichiometry = 0.129 eV/atom
calculated volume = 189 Å³/f.u.
formation energy from raw total energies = -2.95 eV per atom

a b c (Å): 6.9245 6.9245 5.9491
angles (deg): 90.09 90.09 41.56
Atoms (fractional coordinates):
Np  0.1281  0.1281  0.0313
Np  0.8719  0.8719  0.9687
Zn  0.0000  0.0000  0.5000
F  0.1517  0.1517  0.4101
F  0.2269  0.7392  0.2178
F  0.2608  0.7731  0.7822
F  0.3072  0.3072  0.9671
F  0.6928  0.6928  0.0329
F  0.7392  0.2269  0.2178
F  0.7731  0.2608  0.7822
F  0.8483  0.8483  0.5899

=====

No. 3
This record from Alexandria via LeMat-Bulk describes a geometry-optimized CaAcSiBr structure. The functional is PBE-GGA.

Properties
calculated volume = 112 Å³/f.u.
formation energy from raw total energies = -0.86 eV per atom

a b c (Å): 7.6626 7.6626 7.6626
angles (deg): 90.00 90.00 90.00
Atoms (fractional coordinates):
Ca  0.0000  0.0000  0.0000
Ca  0.0000  0.5000  0.5000
Ca  0.5000  0.0000  0.5000
Ca  0.5000  0.5000  0.0000
Ac  0.0000  0.0000  0.5000
Ac  0.0000  0.5000  0.0000
Ac  0.5000  0.0000  0.0000
Ac  0.5000  0.5000  0.5000
Si  0.2500  0.2500  0.7500
Si  0.2500  0.7500  0.2500
Si  0.7500  0.2500  0.2500
Si  0.7500  0.7500  0.7500
Br  0.2500  0.2500  0.2500
Br  0.2500  0.7500  0.7500
Br  0.7500  0.2500  0.7500
Br  0.7500  0.7500  0.2500

=====

No. 4
This record from Alexandria via LeMat-Bulk describes a geometry-optimized K2LaTmS4 structure. The functional is PBE-GGA.

Properties
calculated volume = 220 Å³/f.u.
formation energy from raw total energies = -1.89 eV per atom

a b c (Å): 7.1880 4.1441 7.7514
angles (deg): 90.00 107.95 90.00
Atoms (fractional coordinates):
K  0.0000  0.0000  0.0000
K  0.5000  0.5000  0.0000
La  0.0000  0.5000  0.5000
Tm  0.5000  0.0000  0.5000
S  0.2497  0.0000  0.7057
S  0.2793  0.5000  0.2993
S  0.7207  0.5000  0.7007
S  0.7503  0.0000  0.2943

=====

No. 5
This record from Alexandria via LeMat-Bulk describes a geometry-optimized LiZrRe2 structure. The functional is PBE-GGA.

Properties
energy of formation from the pure elements = 0.185 eV per atom
energy above the lowest structure with this stoichiometry = 0.105 eV/atom
calculated volume = 64 Å³/f.u.

a b c (Å): 3.2581 4.2831 9.1820
angles (deg): 90.00 90.00 90.00
Atoms (fractional coordinates):
Li  0.0000  0.0000  0.0000
Li  0.5000  0.5000  0.5000
Zr  0.0000  0.0000  0.5000
Zr  0.5000  0.5000  0.0000
Re  0.0000  0.5000  0.2489
Re  0.0000  0.5000  0.7511
Re  0.5000  0.0000  0.2511
Re  0.5000  0.0000  0.7489

=====

No. 6
This record from Alexandria via LeMat-Bulk describes a geometry-optimized Nb2TcIr2 structure. The functional is PBE-GGA.

Properties
energy of formation from the pure elements = -0.164 eV per atom
energy above the lowest structure with this stoichiometry = 0.000 eV/atom
calculated volume = 83 Å³/f.u.

a b c (Å): 7.4784 7.4784 2.9855
angles (deg): 90.00 90.00 90.00
Atoms (fractional coordinates):
Nb  0.1693  0.3307  0.0000
Nb  0.3307  0.8307  0.0000
Nb  0.6693  0.1693  0.0000
Nb  0.8307  0.6693  0.0000
Tc  0.0000  0.0000  0.5000
Tc  0.5000  0.5000  0.5000
Ir  0.1310  0.6310  0.5000
Ir  0.3690  0.1310  0.5000
Ir  0.6310  0.8690  0.5000
Ir  0.8690  0.3690  0.5000

=====

No. 7
This record from Alexandria via LeMat-Bulk describes a geometry-optimized TmAlOs2C structure. The functional is PBE-GGA.

Properties
energy of formation from the pure elements = -0.320 eV per atom
calculated volume = 79 Å³/f.u.

a b c (Å): 5.8825 5.8825 7.2414
angles (deg): 90.00 90.00 140.93
Atoms (fractional coordinates):
Tm  0.0483  0.9517  0.7500
Tm  0.9517  0.0483  0.2500
Al  0.2314  0.7686  0.2500
Al  0.7686  0.2314  0.7500
Os  0.3349  0.6651  0.5598
Os  0.3349  0.6651  0.9402
Os  0.6651  0.3349  0.0598
Os  0.6651  0.3349  0.4402
C  0.5000  0.5000  0.0000
C  0.5000  0.5000  0.5000

=====

No. 8
This record from Alexandria via LeMat-Bulk describes a geometry-optimized YCoCu2 structure. The functional is PBE-GGA.

Properties
energy of formation from the pure elements = -0.063 eV per atom
energy above the lowest structure with this stoichiometry = 0.000 eV/atom
calculated volume = 67 Å³/f.u.

a b c (Å): 4.1206 4.1206 13.6192
angles (deg): 90.00 90.00 120.00
Atoms (fractional coordinates):
Y  0.0000  0.0000  0.0000
Y  0.3333  0.6667  0.6667
Y  0.6667  0.3333  0.3333
Co  0.0000  0.0000  0.1991
Co  0.3333  0.6667  0.8658
Co  0.6667  0.3333  0.5325
Cu  0.0000  0.0000  0.5098
Cu  0.0000  0.0000  0.7987
Cu  0.3333  0.6667  0.1765
Cu  0.3333  0.6667  0.4654
Cu  0.6667  0.3333  0.1320
Cu  0.6667  0.3333  0.8431